The following is a PBE calculation of a geometry-optimized MgVWS4 structure, from Alexandria via LeMat-Bulk.

The structure in CIF format:
```
data_MgVWS4
_symmetry_space_group_name_H-M 'I m m a'
_symmetry_Int_Tables_number 74
_symmetry_space_group_name_Hall '-I 2b 2'
_cell_length_a 7.013
_cell_length_b 7.491
_cell_length_c 10.269
_cell_angle_alpha 90.00
_cell_angle_beta 90.00
_cell_angle_gamma 90.00
loop_
_atom_site_label
_atom_site_fract_x
_atom_site_fract_y
_atom_site_fract_z
Mg1 0.000 0.250 0.126
V1 0.000 0.000 0.500
W1 0.250 0.250 0.750
S1 0.000 0.018 0.741
S2 0.227 0.250 0.510
```

DOS(E_F): 22.06 states/eV per cell
size of the total moment: 0.15 μB/atom
distance to the lowest polymorph of the same formula: 74 kJ/mol of formula units


The following is a PBE calculation of a geometry-optimized Zr2PaN structure, from Alexandria via LeMat-Bulk.

The structure in CIF format:
```
data_Zr2PaN
_symmetry_space_group_name_H-M 'R 3 m'
_symmetry_Int_Tables_number 160
_symmetry_space_group_name_Hall 'R 3 -2"'
_cell_length_a 3.2281
_cell_length_b 3.2281
_cell_length_c 24.9825
_cell_angle_alpha 90.00
_cell_angle_beta 90.00
_cell_angle_gamma 120.00
loop_
_atom_site_label
_atom_site_fract_x
_atom_site_fract_y
_atom_site_fract_z
Zr1 0.0000 0.0000 0.0000
Zr2 0.0000 0.0000 0.2279
Pa1 0.0000 0.0000 0.4473
N1 0.0000 0.0000 0.6146
```

DOS(E_F): 16.92 states/eV per cell
size of the total moment: 0.00 μB/atom
distance to the lowest polymorph of the same formula: 0 kJ/mol of formula units


The following is a PBE calculation of a geometry-optimized Sr3AlZn structure, from Alexandria via LeMat-Bulk.

The structure in CIF format:
```
data_Sr3AlZn
_symmetry_space_group_name_H-M 'C 1 2/m 1'
_symmetry_Int_Tables_number 12
_cell_length_a 11.419
_cell_length_b 10.083
_cell_length_c 8.098
_cell_angle_alpha 90.00
_cell_angle_beta 127.28
_cell_angle_gamma 90.00
loop_
_symmetry_equiv_pos_as_xyz
'x,y,z'
'-x,-y,-z'
'-x,y,-z'
'x,-y,z'
'x+1/2,y+1/2,z'
'-x+1/2,-y+1/2,-z'
'-x+1/2,y+1/2,-z'
'x+1/2,-y+1/2,z'
loop_
_atom_site_label
_atom_site_fract_x
_atom_site_fract_y
_atom_site_fract_z
Sr1 0.045 0.000 0.261
Sr2 0.232 0.303 0.221
Al1 0.083 0.500 0.426
Zn1 0.201 0.500 0.841
```

E_form: -0.01 eV per atom
DOS(E_F): 19.16 states/eV per cell
size of the total moment: 0.00 μB/atom
distance to the lowest polymorph of the same formula: 0 kJ/mol of formula units


The following is a PBE calculation of a geometry-optimized BiAs3Pd structure, from Alexandria via LeMat-Bulk.

The structure in CIF format:
```
data_BiAs3Pd
_symmetry_space_group_name_H-M 'P m -3 m'
_symmetry_Int_Tables_number 221
_symmetry_space_group_name_Hall '-P 4 2 3'
_cell_length_a 4.939
_cell_length_b 4.939
_cell_length_c 4.939
_cell_angle_alpha 90.00
_cell_angle_beta 90.00
_cell_angle_gamma 90.00
loop_
_atom_site_label
_atom_site_fract_x
_atom_site_fract_y
_atom_site_fract_z
Bi1 0.000 0.000 0.000
As1 0.000 0.500 0.500
Pd1 0.500 0.500 0.500
```

E_form: 0.42 eV per atom
DOS(E_F): 4.96 states/eV per cell
size of the total moment: 0.00 μB/atom
distance to the lowest polymorph of the same formula: 0 kJ/mol of formula units